# ErOsS | the Alexandria database | PBE | relaxed
# raw total energy	-6.9617	eV/atom
# total moment	0.000	μB per formula unit
# energy relative to the elements, uncorrected	-0.32	eV/atom
data_ErOsS
_cell_length_a 8.6004
_cell_length_b 5.2803
_cell_length_c 5.3813
_cell_angle_alpha 90.00
_cell_angle_beta 90.00
_cell_angle_gamma 90.00
_space_group_name_H-M_alt 'A m m 2'
_space_group_IT_number 38
_space_group_name_Hall 'A 2 -2'
loop_
_atom_site_label
_atom_site_type_symbol
_atom_site_fract_x
_atom_site_fract_y
_atom_site_fract_z
Er1 Er 0.2346 0.0000 0.0000
Os1 Os 0.0000 0.0000 0.5933
Os2 Os 0.5000 0.0000 0.6173
S1 S 0.2536 0.0000 0.4916